(1)
{
  "formula": "AcIn4Hg6",
  "functional": "GGA-PBE",
  "state": "optimized geometry",
  "ef_ev_per_atom": -0.10,
  "volume_a3_per_cell": 304,
  "total_energy_ev_per_atom": -1.63,
  "lattice": [[8.612, 0.000, 0.000], [-4.306, 7.458, 0.000], [0.000, 0.000, 4.740]],
  "species": ["Ac", "In", "In", "In", "In", "Hg", "Hg", "Hg", "Hg", "Hg", "Hg"],
  "fractional_positions": [[0.000, 0.000, 0.000], [0.333, 0.667, 0.000], [0.424, 0.282, 0.500], [0.718, 0.142, 0.500], [0.858, 0.576, 0.500], [0.137, 0.360, 0.500], [0.222, 0.863, 0.500], [0.466, 0.076, 0.000], [0.609, 0.534, 0.000], [0.640, 0.778, 0.500], [0.924, 0.391, 0.000]]
}

(2)
{
  "formula": "AcInHg",
  "functional": "GGA-PBE",
  "state": "optimized geometry",
  "ef_ev_per_atom": -0.48,
  "volume_a3_per_cell": 360,
  "e_above_lowest_polymorph_mev_per_atom": 0,
  "total_energy_ev_per_atom": -2.87,
  "lattice": [[11.781, 0.000, 0.000], [0.000, 5.090, 0.000], [-5.461, 0.000, 6.011]],
  "species": ["Ac", "Ac", "Ac", "Ac", "In", "In", "In", "In", "Hg", "Hg", "Hg", "Hg"],
  "fractional_positions": [[0.035, 0.000, 0.291], [0.465, 0.500, 0.709], [0.535, 0.500, 0.291], [0.965, 0.000, 0.709], [0.163, 0.500, 0.114], [0.337, 0.000, 0.886], [0.663, 0.000, 0.114], [0.837, 0.500, 0.886], [0.166, 0.500, 0.718], [0.334, 0.000, 0.282], [0.666, 0.000, 0.718], [0.834, 0.500, 0.282]]
}

(3)
{
  "formula": "Ac3In2Hg8",
  "functional": "GGA-PBE",
  "state": "optimized geometry",
  "ef_ev_per_atom": -0.19,
  "volume_a3_per_cell": 395,
  "total_energy_ev_per_atom": -1.74,
  "lattice": [[3.138, 1.812, 11.575], [-3.138, 1.812, 11.575], [0.000, -3.623, 11.575]],
  "species": ["Ac", "Ac", "Ac", "In", "In", "Hg", "Hg", "Hg", "Hg", "Hg", "Hg", "Hg", "Hg"],
  "fractional_positions": [[0.000, 0.000, 0.000], [0.190, 0.190, 0.190], [0.810, 0.810, 0.810], [0.367, 0.367, 0.367], [0.633, 0.633, 0.633], [0.227, 0.730, 0.730], [0.270, 0.270, 0.773], [0.270, 0.773, 0.270], [0.285, 0.285, 0.285], [0.715, 0.715, 0.715], [0.730, 0.227, 0.730], [0.730, 0.730, 0.227], [0.773, 0.270, 0.270]]
}

(4)
{
  "formula": "Ac3In2Hg4",
  "functional": "GGA-PBE",
  "state": "optimized geometry",
  "ef_ev_per_atom": -0.48,
  "volume_a3_per_cell": 271,
  "total_energy_ev_per_atom": -2.59,
  "lattice": [[5.961, -2.563, 0.000], [5.961, 2.563, 0.000], [-4.086, 0.000, 8.884]],
  "species": ["Ac", "Ac", "Ac", "In", "In", "Hg", "Hg", "Hg", "Hg"],
  "fractional_positions": [[0.000, 0.000, 0.000], [0.337, 0.337, 0.327], [0.663, 0.663, 0.673], [0.384, 0.384, 0.718], [0.616, 0.616, 0.282], [0.083, 0.083, 0.417], [0.302, 0.302, 0.968], [0.698, 0.698, 0.032], [0.917, 0.917, 0.583]]
}

(5)
{
  "formula": "Ac6In2Hg",
  "functional": "GGA-PBE",
  "state": "optimized geometry",
  "ef_ev_per_atom": -0.26,
  "volume_a3_per_cell": 703,
  "e_above_lowest_polymorph_mev_per_atom": 0,
  "total_energy_ev_per_atom": -3.64,
  "lattice": [[-5.439, 5.587, 5.784], [5.439, -5.587, 5.784], [5.439, 5.587, -5.784]],
  "species": ["Ac", "Ac", "Ac", "Ac", "Ac", "Ac", "Ac", "Ac", "Ac", "Ac", "Ac", "Ac", "In", "In", "In", "In", "Hg", "Hg"],
  "fractional_positions": [[0.043, 0.829, 0.215], [0.257, 0.561, 0.304], [0.257, 0.954, 0.696], [0.262, 0.326, 0.587], [0.262, 0.674, 0.936], [0.386, 0.171, 0.215], [0.614, 0.829, 0.785], [0.738, 0.326, 0.064], [0.738, 0.674, 0.413], [0.743, 0.046, 0.304], [0.743, 0.439, 0.696], [0.957, 0.171, 0.785], [0.000, 0.145, 0.145], [0.000, 0.855, 0.855], [0.375, 0.375, 0.000], [0.625, 0.625, 0.000], [0.000, 0.500, 0.500], [0.500, 0.000, 0.500]]
}

(6)
{
  "formula": "AcIn2Hg5",
  "functional": "GGA-PBE",
  "state": "optimized geometry",
  "ef_ev_per_atom": -0.16,
  "volume_a3_per_cell": 453,
  "e_above_lowest_polymorph_mev_per_atom": 73,
  "total_energy_ev_per_atom": -1.55,
  "lattice": [[-4.044, 4.044, 6.923], [4.044, -4.044, 6.923], [4.044, 4.044, -6.923]],
  "species": ["Ac", "Ac", "In", "In", "In", "In", "Hg", "Hg", "Hg", "Hg", "Hg", "Hg", "Hg", "Hg", "Hg", "Hg"],
  "fractional_positions": [[0.250, 0.250, 0.000], [0.750, 0.750, 0.000], [0.155, 0.655, 0.809], [0.345, 0.155, 0.500], [0.655, 0.845, 0.500], [0.845, 0.345, 0.191], [0.000, 0.000, 0.000], [0.017, 0.795, 0.500], [0.205, 0.705, 0.222], [0.295, 0.517, 0.500], [0.483, 0.983, 0.778], [0.500, 0.500, 0.000], [0.517, 0.017, 0.222], [0.705, 0.483, 0.500], [0.795, 0.295, 0.778], [0.983, 0.205, 0.500]]
}

(7)
{
  "formula": "AcInHg3",
  "functional": "GGA-PBE",
  "state": "optimized geometry",
  "ef_ev_per_atom": -0.32,
  "volume_a3_per_cell": 568,
  "e_above_lowest_polymorph_mev_per_atom": 21,
  "total_energy_ev_per_atom": -1.87,
  "lattice": [[9.271, 0.000, 0.000], [0.000, 5.118, 0.000], [0.000, 0.000, 11.963]],
  "species": ["Ac", "Ac", "Ac", "Ac", "In", "In", "In", "In", "Hg", "Hg", "Hg", "Hg", "Hg", "Hg", "Hg", "Hg", "Hg", "Hg", "Hg", "Hg"],
  "fractional_positions": [[0.224, 0.250, 0.007], [0.276, 0.750, 0.507], [0.724, 0.250, 0.493], [0.776, 0.750, 0.993], [0.088, 0.250, 0.353], [0.412, 0.750, 0.853], [0.588, 0.250, 0.147], [0.912, 0.750, 0.647], [0.079, 0.250, 0.619], [0.098, 0.750, 0.846], [0.103, 0.750, 0.167], [0.397, 0.250, 0.667], [0.402, 0.250, 0.346], [0.421, 0.750, 0.119], [0.579, 0.250, 0.881], [0.598, 0.750, 0.654], [0.603, 0.750, 0.333], [0.897, 0.250, 0.833], [0.902, 0.250, 0.154], [0.921, 0.750, 0.381]]
}

(8)
{
  "formula": "AcIn2Hg",
  "functional": "GGA-PBE",
  "state": "optimized geometry",
  "ef_ev_per_atom": -0.37,
  "volume_a3_per_cell": 473,
  "e_above_lowest_polymorph_mev_per_atom": 19,
  "total_energy_ev_per_atom": -2.85,
  "lattice": [[-2.450, 5.040, 9.583], [2.450, -5.040, 9.583], [2.450, 5.040, -9.583]],
  "species": ["Ac", "Ac", "Ac", "Ac", "In", "In", "In", "In", "In", "In", "In", "In", "Hg", "Hg", "Hg", "Hg"],
  "fractional_positions": [[0.204, 0.204, 0.000], [0.236, 0.000, 0.236], [0.764, 0.000, 0.764], [0.796, 0.796, 0.000], [0.071, 0.571, 0.500], [0.165, 0.810, 0.355], [0.422, 0.422, 0.000], [0.456, 0.810, 0.645], [0.544, 0.190, 0.355], [0.578, 0.578, 0.000], [0.835, 0.190, 0.645], [0.929, 0.429, 0.500], [0.089, 0.353, 0.736], [0.384, 0.647, 0.736], [0.616, 0.353, 0.264], [0.911, 0.647, 0.264]]
}

(9)
{
  "formula": "AcIn5Hg8",
  "functional": "GGA-PBE",
  "state": "optimized geometry",
  "ef_ev_per_atom": -0.09,
  "volume_a3_per_cell": 388,
  "total_energy_ev_per_atom": -1.54,
  "lattice": [[-4.576, 4.576, 4.633], [4.576, -4.576, 4.633], [4.576, 4.576, -4.633]],
  "species": ["Ac", "In", "In", "In", "In", "In", "Hg", "Hg", "Hg", "Hg", "Hg", "Hg", "Hg", "Hg"],
  "fractional_positions": [[0.000, 0.000, 0.000], [0.211, 0.622, 0.100], [0.378, 0.477, 0.588], [0.523, 0.111, 0.900], [0.750, 0.250, 0.500], [0.889, 0.789, 0.412], [0.142, 0.705, 0.732], [0.156, 0.248, 0.760], [0.295, 0.027, 0.437], [0.489, 0.396, 0.240], [0.590, 0.858, 0.563], [0.604, 0.844, 0.092], [0.752, 0.511, 0.908], [0.973, 0.410, 0.268]]
}

(10)
{
  "formula": "Ac3In4Hg2",
  "functional": "GGA-PBE",
  "state": "optimized geometry",
  "ef_ev_per_atom": -0.46,
  "volume_a3_per_cell": 279,
  "total_energy_ev_per_atom": -3.12,
  "lattice": [[6.025, -2.527, 0.000], [6.025, 2.527, 0.000], [-3.141, 0.000, 9.172]],
  "species": ["Ac", "Ac", "Ac", "In", "In", "In", "In", "Hg", "Hg"],
  "fractional_positions": [[0.000, 0.000, 0.000], [0.351, 0.351, 0.321], [0.649, 0.649, 0.679], [0.076, 0.076, 0.404], [0.289, 0.289, 0.949], [0.711, 0.711, 0.051], [0.924, 0.924, 0.596], [0.343, 0.343, 0.677], [0.657, 0.657, 0.323]]
}

(11)
{
  "formula": "AcIn2Hg",
  "functional": "GGA-PBE",
  "state": "optimized geometry",
  "ef_ev_per_atom": -0.31,
  "volume_a3_per_cell": 360,
  "e_above_lowest_polymorph_mev_per_atom": 87,
  "total_energy_ev_per_atom": -2.78,
  "lattice": [[4.875, 0.000, 0.000], [-2.437, 4.222, 0.000], [0.000, 0.000, 17.487]],
  "species": ["Ac", "Ac", "Ac", "In", "In", "In", "In", "In", "In", "Hg", "Hg", "Hg"],
  "fractional_positions": [[0.000, 0.000, 0.000], [0.333, 0.667, 0.667], [0.667, 0.333, 0.333], [0.000, 0.000, 0.223], [0.000, 0.000, 0.777], [0.333, 0.667, 0.444], [0.333, 0.667, 0.889], [0.667, 0.333, 0.111], [0.667, 0.333, 0.556], [0.000, 0.000, 0.500], [0.333, 0.667, 0.167], [0.667, 0.333, 0.833]]
}

(12)
{
  "formula": "Ac5InHg",
  "functional": "GGA-PBE",
  "state": "optimized geometry",
  "ef_ev_per_atom": -0.12,
  "volume_a3_per_cell": 571,
  "total_energy_ev_per_atom": -3.49,
  "lattice": [[4.962, -5.108, 0.000], [4.962, 5.108, 0.000], [-0.135, 0.000, 11.265]],
  "species": ["Ac", "Ac", "Ac", "Ac", "Ac", "Ac", "Ac", "Ac", "Ac", "Ac", "In", "In", "Hg", "Hg"],
  "fractional_positions": [[0.045, 0.617, 0.163], [0.151, 0.849, 0.750], [0.240, 0.415, 0.497], [0.383, 0.955, 0.337], [0.415, 0.240, 0.997], [0.585, 0.760, 0.003], [0.617, 0.045, 0.663], [0.760, 0.585, 0.503], [0.849, 0.151, 0.250], [0.955, 0.383, 0.837], [0.492, 0.508, 0.750], [0.508, 0.492, 0.250], [0.000, 0.000, 0.000], [0.000, 0.000, 0.500]]
}

(13)
{
  "formula": "Ac6InHg2",
  "functional": "GGA-PBE",
  "state": "optimized geometry",
  "ef_ev_per_atom": -0.27,
  "volume_a3_per_cell": 693,
  "total_energy_ev_per_atom": -3.38,
  "lattice": [[-5.443, 5.487, 5.798], [5.443, -5.487, 5.798], [5.443, 5.487, -5.798]],
  "species": ["Ac", "Ac", "Ac", "Ac", "Ac", "Ac", "Ac", "Ac", "Ac", "Ac", "Ac", "Ac", "In", "In", "Hg", "Hg", "Hg", "Hg"],
  "fractional_positions": [[0.052, 0.247, 0.805], [0.179, 0.273, 0.452], [0.179, 0.727, 0.906], [0.327, 0.039, 0.712], [0.327, 0.615, 0.288], [0.441, 0.247, 0.195], [0.559, 0.753, 0.805], [0.673, 0.385, 0.712], [0.673, 0.961, 0.288], [0.821, 0.273, 0.094], [0.821, 0.727, 0.548], [0.948, 0.753, 0.195], [0.000, 0.000, 0.000], [0.500, 0.500, 0.000], [0.130, 0.630, 0.500], [0.348, 0.000, 0.348], [0.652, 0.000, 0.652], [0.870, 0.370, 0.500]]
}

(14)
{
  "formula": "Ac4InHg7",
  "functional": "GGA-PBE",
  "state": "optimized geometry",
  "ef_ev_per_atom": -0.34,
  "volume_a3_per_cell": 383,
  "total_energy_ev_per_atom": -2.11,
  "lattice": [[8.120, -2.736, 0.000], [8.120, 2.736, 0.000], [-5.284, 0.000, 8.615]],
  "species": ["Ac", "Ac", "Ac", "Ac", "In", "Hg", "Hg", "Hg", "Hg", "Hg", "Hg", "Hg"],
  "fractional_positions": [[0.062, 0.062, 0.245], [0.231, 0.231, 0.758], [0.769, 0.769, 0.242], [0.938, 0.938, 0.755], [0.500, 0.500, 0.500], [0.000, 0.000, 0.500], [0.173, 0.173, 0.039], [0.307, 0.307, 0.493], [0.406, 0.406, 0.143], [0.594, 0.594, 0.857], [0.693, 0.693, 0.507], [0.827, 0.827, 0.961]]
}

(15)
{
  "formula": "Ac3In2Hg3",
  "functional": "GGA-PBE",
  "state": "optimized geometry",
  "ef_ev_per_atom": -0.47,
  "volume_a3_per_cell": 500,
  "total_energy_ev_per_atom": -2.81,
  "lattice": [[2.484, -6.048, 0.000], [2.484, 6.048, 0.000], [0.000, 0.000, 16.624]],
  "species": ["Ac", "Ac", "Ac", "Ac", "Ac", "Ac", "In", "In", "In", "In", "Hg", "Hg", "Hg", "Hg", "Hg", "Hg"],
  "fractional_positions": [[0.086, 0.914, 0.606], [0.086, 0.914, 0.894], [0.366, 0.634, 0.750], [0.634, 0.366, 0.250], [0.914, 0.086, 0.106], [0.914, 0.086, 0.394], [0.207, 0.793, 0.104], [0.207, 0.793, 0.396], [0.793, 0.207, 0.604], [0.793, 0.207, 0.896], [0.357, 0.643, 0.250], [0.383, 0.617, 0.536], [0.383, 0.617, 0.964], [0.617, 0.383, 0.036], [0.617, 0.383, 0.464], [0.643, 0.357, 0.750]]
}

(16)
{
  "formula": "Ac2In2Hg15",
  "functional": "GGA-PBE",
  "state": "optimized geometry",
  "ef_ev_per_atom": -0.14,
  "volume_a3_per_cell": 525,
  "total_energy_ev_per_atom": -1.10,
  "lattice": [[4.847, 2.798, 6.455], [-4.847, 2.798, 6.455], [0.000, -5.596, 6.455]],
  "species": ["Ac", "Ac", "In", "In", "Hg", "Hg", "Hg", "Hg", "Hg", "Hg", "Hg", "Hg", "Hg", "Hg", "Hg", "Hg", "Hg", "Hg", "Hg"],
  "fractional_positions": [[0.205, 0.205, 0.205], [0.795, 0.795, 0.795], [0.397, 0.397, 0.397], [0.603, 0.603, 0.603], [0.000, 0.500, 0.500], [0.081, 0.081, 0.685], [0.081, 0.685, 0.081], [0.204, 0.500, 0.796], [0.204, 0.796, 0.500], [0.315, 0.919, 0.919], [0.500, 0.000, 0.500], [0.500, 0.204, 0.796], [0.500, 0.500, 0.000], [0.500, 0.796, 0.204], [0.685, 0.081, 0.081], [0.796, 0.204, 0.500], [0.796, 0.500, 0.204], [0.919, 0.315, 0.919], [0.919, 0.919, 0.315]]
}

(17)
{
  "formula": "Ac4InHgIr2",
  "functional": "GGA-PBE",
  "state": "optimized geometry",
  "ef_ev_per_atom": -0.38,
  "volume_a3_per_cell": 521,
  "total_energy_ev_per_atom": -5.03,
  "lattice": [[2.238, -7.017, 0.000], [2.238, 7.017, 0.000], [0.000, 0.000, 16.586]],
  "species": ["Ac", "Ac", "Ac", "Ac", "Ac", "Ac", "Ac", "Ac", "In", "In", "Hg", "Hg", "Ir", "Ir", "Ir", "Ir"],
  "fractional_positions": [[0.000, 0.000, 0.000], [0.000, 0.000, 0.500], [0.279, 0.721, 0.586], [0.279, 0.721, 0.914], [0.489, 0.511, 0.250], [0.511, 0.489, 0.750], [0.721, 0.279, 0.086], [0.721, 0.279, 0.414], [0.181, 0.819, 0.250], [0.819, 0.181, 0.750], [0.167, 0.833, 0.750], [0.833, 0.167, 0.250], [0.368, 0.632, 0.076], [0.368, 0.632, 0.424], [0.632, 0.368, 0.576], [0.632, 0.368, 0.924]]
}

(18)
{
  "formula": "Ac3La3InHg2",
  "functional": "GGA-PBE",
  "state": "optimized geometry",
  "ef_ev_per_atom": -0.29,
  "volume_a3_per_cell": 311,
  "total_energy_ev_per_atom": -3.68,
  "lattice": [[9.444, 0.000, 0.000], [-4.722, 8.179, 0.000], [0.000, 0.000, 4.031]],
  "species": ["Ac", "Ac", "Ac", "La", "La", "La", "In", "Hg", "Hg"],
  "fractional_positions": [[0.000, 0.389, 0.000], [0.389, 0.000, 0.000], [0.611, 0.611, 0.000], [0.000, 0.719, 0.500], [0.281, 0.281, 0.500], [0.719, 0.000, 0.500], [0.000, 0.000, 0.000], [0.333, 0.667, 0.500], [0.667, 0.333, 0.500]]
}

(19)
{
  "formula": "AcLaInHg",
  "functional": "GGA-PBE",
  "state": "optimized geometry",
  "ef_ev_per_atom": -0.47,
  "volume_a3_per_cell": 128,
  "e_above_lowest_polymorph_mev_per_atom": 0,
  "total_energy_ev_per_atom": -3.49,
  "lattice": [[3.979, 0.000, 0.000], [0.000, 3.979, 0.000], [0.000, 0.000, 8.114]],
  "species": ["Ac", "La", "In", "Hg"],
  "fractional_positions": [[0.000, 0.000, 0.000], [0.000, 0.000, 0.506], [0.500, 0.500, 0.265], [0.500, 0.500, 0.737]]
}

(20)
{
  "formula": "AcLa2In2Hg2",
  "functional": "GGA-PBE",
  "state": "optimized geometry",
  "ef_ev_per_atom": -0.37,
  "volume_a3_per_cell": 210,
  "total_energy_ev_per_atom": -3.24,
  "lattice": [[2.485, 1.435, 9.812], [-2.485, 1.435, 9.812], [0.000, -2.869, 9.812]],
  "species": ["Ac", "La", "La", "In", "In", "Hg", "Hg"],
  "fractional_positions": [[0.000, 0.000, 0.000], [0.139, 0.139, 0.139], [0.861, 0.861, 0.861], [0.264, 0.264, 0.264], [0.736, 0.736, 0.736], [0.425, 0.425, 0.425], [0.575, 0.575, 0.575]]
}